# AcDy2Cd9 | the Alexandria database | GGA-PBE | relaxed
# - E_form: -0.248 eV/atom
# - Theoretical density: 8.6 g/cm³
data_AcDy2Cd9
_chemical_formula_sum 'Ac1 Dy2 Cd9'
_space_group_name_H-M_alt 'P 1'
_space_group_IT_number 1
_cell_length_a 6.0321
_cell_length_b 6.0321
_cell_length_c 10.1564
_cell_angle_alpha 72.72
_cell_angle_beta 72.72
_cell_angle_gamma 60.00
loop_
_space_group_symop_operation_xyz
'x,y,z'
loop_
_atom_site_label
_atom_site_fract_x
_atom_site_fract_y
_atom_site_fract_z
Dy1 0.1439 0.1439 0.5684
Dy2 0.8561 0.8561 0.4316
Ac1 0.0000 0.0000 0.0000
Cd1 0.9229 0.4089 0.2593
Cd2 0.4089 0.4089 0.2593
Cd3 0.5911 0.0771 0.7407
Cd4 0.4089 0.9229 0.2593
Cd5 0.6644 0.6644 0.0067
Cd6 0.3356 0.3356 0.9933
Cd7 0.5911 0.5911 0.7407
Cd8 0.5000 0.5000 0.5000
Cd9 0.0771 0.5911 0.7407

# AcDy2Cd | the Alexandria database | GGA-PBE | relaxed
# - E_form: 0.085 eV/atom
# - Theoretical density: 8.8 g/cm³
# - Relative energy among the computed polymorphs: 204 meV/atom
data_AcDy2Cd
_chemical_formula_sum 'Ac1 Dy2 Cd1'
_space_group_name_H-M_alt 'P 1'
_space_group_IT_number 1
_cell_length_a 5.6151
_cell_length_b 5.6151
_cell_length_c 5.6151
_cell_angle_alpha 60.00
_cell_angle_beta 60.00
_cell_angle_gamma 60.00
loop_
_space_group_symop_operation_xyz
'x,y,z'
loop_
_atom_site_label
_atom_site_fract_x
_atom_site_fract_y
_atom_site_fract_z
Dy1 0.7500 0.7500 0.7500
Dy2 0.2500 0.2500 0.2500
Ac1 0.5000 0.5000 0.5000
Cd1 0.0000 0.0000 0.0000

# AcDyCd2 | the Alexandria database | GGA-PBE | relaxed
# - E_form: -0.105 eV/atom
# - Theoretical density: 8.0 g/cm³
# - Relative energy among the computed polymorphs: 184 meV/atom
data_AcDyCd2
_chemical_formula_sum 'Ac1 Dy1 Cd2'
_space_group_name_H-M_alt 'P 1'
_space_group_IT_number 1
_cell_length_a 3.7816
_cell_length_b 3.7816
_cell_length_c 10.4941
_cell_angle_alpha 79.62
_cell_angle_beta 79.62
_cell_angle_gamma 60.00
loop_
_space_group_symop_operation_xyz
'x,y,z'
loop_
_atom_site_label
_atom_site_fract_x
_atom_site_fract_y
_atom_site_fract_z
Cd1 0.2568 0.2568 0.2297
Cd2 0.7432 0.7432 0.7703
Dy1 0.0000 0.0000 0.0000
Ac1 0.5000 0.5000 0.5000

# AcDyCd6 | the Alexandria database | GGA-PBE | relaxed
# - E_form: -0.246 eV/atom
# - Theoretical density: 8.7 g/cm³
# - Relative energy among the computed polymorphs: 3 meV/atom
data_AcDyCd6
_chemical_formula_sum 'Ac1 Dy1 Cd6'
_space_group_name_H-M_alt 'P 1'
_space_group_IT_number 1
_cell_length_a 5.2538
_cell_length_b 5.2573
_cell_length_c 7.3640
_cell_angle_alpha 90.00
_cell_angle_beta 90.00
_cell_angle_gamma 90.00
loop_
_space_group_symop_operation_xyz
'x,y,z'
loop_
_atom_site_label
_atom_site_fract_x
_atom_site_fract_y
_atom_site_fract_z
Cd1 0.5000 0.7514 0.7295
Cd2 0.0000 0.2489 0.7296
Cd3 0.0000 0.2489 0.2704
Cd4 0.5000 0.2500 0.0000
Cd5 0.5000 0.7514 0.2705
Cd6 0.0000 0.7489 0.5000
Dy1 0.5000 0.2515 0.5000
Ac1 0.0000 0.7490 0.0000

# AcDy2Cd | the Alexandria database | GGA-PBE | relaxed
# - E_form: -0.027 eV/atom
# - Theoretical density: 8.7 g/cm³
# - Relative energy among the computed polymorphs: 92 meV/atom
data_AcDy2Cd
_chemical_formula_sum 'Ac1 Dy2 Cd1'
_space_group_name_H-M_alt 'P 1'
_space_group_IT_number 1
_cell_length_a 5.1194
_cell_length_b 4.9865
_cell_length_c 4.9865
_cell_angle_alpha 90.00
_cell_angle_beta 90.00
_cell_angle_gamma 90.00
loop_
_space_group_symop_operation_xyz
'x,y,z'
loop_
_atom_site_label
_atom_site_fract_x
_atom_site_fract_y
_atom_site_fract_z
Cd1 0.5000 0.0000 0.0000
Dy1 0.0000 0.0000 0.5000
Dy2 0.0000 0.5000 0.0000
Ac1 0.5000 0.5000 0.5000

# AcDyCd6 | the Alexandria database | GGA-PBE | relaxed
# - E_form: -0.249 eV/atom
# - Theoretical density: 8.4 g/cm³
# - Relative energy among the computed polymorphs: 0 meV/atom
data_AcDyCd6
_chemical_formula_sum 'Ac1 Dy1 Cd6'
_space_group_name_H-M_alt 'P 1'
_space_group_IT_number 1
_cell_length_a 4.9674
_cell_length_b 6.7875
_cell_length_c 6.7875
_cell_angle_alpha 113.98
_cell_angle_beta 90.00
_cell_angle_gamma 90.00
loop_
_space_group_symop_operation_xyz
'x,y,z'
loop_
_atom_site_label
_atom_site_fract_x
_atom_site_fract_y
_atom_site_fract_z
Dy1 0.0000 0.1085 0.8915
Cd1 0.5000 0.8711 0.5614
Cd2 0.5000 0.4386 0.1289
Cd3 0.0000 0.6340 0.9574
Cd4 0.0000 0.0426 0.3660
Cd5 0.5000 0.9284 0.0716
Cd6 0.0000 0.5889 0.4111
Ac1 0.5000 0.3876 0.6124

# AcDy5Cd6 | the Alexandria database | GGA-PBE | relaxed
# - E_form: -0.290 eV/atom
# - Theoretical density: 8.6 g/cm³
data_AcDy5Cd6
_chemical_formula_sum 'Ac1 Dy5 Cd6'
_space_group_name_H-M_alt 'P 1'
_space_group_IT_number 1
_cell_length_a 5.3407
_cell_length_b 7.6812
_cell_length_c 9.2899
_cell_angle_alpha 114.42
_cell_angle_beta 106.71
_cell_angle_gamma 90.00
loop_
_space_group_symop_operation_xyz
'x,y,z'
loop_
_atom_site_label
_atom_site_fract_x
_atom_site_fract_y
_atom_site_fract_z
Dy1 0.6626 0.1626 0.3252
Dy2 0.3374 0.8374 0.6748
Dy3 0.6694 0.6694 0.3389
Dy4 0.0000 0.5000 0.0000
Dy5 0.3306 0.3306 0.6611
Cd1 0.1734 0.4374 0.3468
Cd2 0.5000 0.2753 0.0000
Cd3 0.1733 0.9094 0.3468
Cd4 0.8267 0.0906 0.6532
Cd5 0.5000 0.7247 0.0000
Cd6 0.8266 0.5626 0.6532
Ac1 0.0000 0.0000 0.0000

# AcDyErCd | the Alexandria database | GGA-PBE | relaxed
# - E_form: 0.097 eV/atom
# - Theoretical density: 8.9 g/cm³
data_AcDyErCd
_chemical_formula_sum 'Ac1 Dy1 Er1 Cd1'
_space_group_name_H-M_alt 'P 1'
_space_group_IT_number 1
_cell_length_a 5.6022
_cell_length_b 5.6022
_cell_length_c 5.6022
_cell_angle_alpha 60.00
_cell_angle_beta 60.00
_cell_angle_gamma 60.00
loop_
_space_group_symop_operation_xyz
'x,y,z'
loop_
_atom_site_label
_atom_site_fract_x
_atom_site_fract_y
_atom_site_fract_z
Ac1 0.2500 0.2500 0.2500
Er1 0.0000 0.0000 0.0000
Cd1 0.7500 0.7500 0.7500
Dy1 0.5000 0.5000 0.5000

| no. | total moment (μB/cell) |
| --- | --- |
| 1 | 0.000 |
| 2 | 0.000 |
| 3 | 0.000 |
| 4 | 0.000 |
| 5 | 0.276 |
| 6 | 0.000 |
| 7 | 0.999 |
| 8 | 0.002 |